Record 1
A plane-wave DFT calculation with PBE-GGA was carried out for CoB3Mo after structural relaxation.

Output
ΔE_f (eV per atom): 0.863
Energy above the lowest structure with this stoichiometry (meV per atom): 1223
DOS at the Fermi energy (states/eV per cell): 1.63
Total DFT energy (no corrections) (eV for the cell shown): -33.656

Structure (POSCAR):
```
CoB3Mo
1.0
3.679 0.000 0.000
0.000 3.679 0.000
0.000 0.000 3.679
B Mo Co
3 1 1
direct
0.500 0.000 0.000
0.000 0.500 0.000
0.000 0.000 0.500
0.500 0.500 0.500
0.000 0.000 0.000
```

=====

Record 2
A plane-wave DFT calculation with PBE-GGA was carried out for Co2B2Mo after structural relaxation.

Output
ΔE_f (eV per atom): 0.007
Energy above the lowest structure with this stoichiometry (meV per atom): 306
DOS at the Fermi energy (states/eV per cell): 3.34
Total DFT energy (no corrections) (eV for the cell shown): -38.363

Structure (POSCAR):
```
Co2B2Mo
1.0
3.576 0.000 0.000
0.000 3.576 0.000
1.788 1.788 3.819
B Co Mo
2 2 1
direct
0.250 0.750 0.500
0.750 0.250 0.500
0.644 0.644 0.711
0.356 0.356 0.289
0.000 0.000 0.000
```

=====

Record 3
A plane-wave DFT calculation with PBE-GGA was carried out for CoBMo2 after structural relaxation.

Output
ΔE_f (eV per atom): 0.082
DOS at the Fermi energy (states/eV per cell): 5.90
Total DFT energy (no corrections) (eV for the cell shown): -70.233

Structure (POSCAR):
```
CoBMo2
1.0
4.983 -0.092 0.000
-0.292 4.975 0.000
-2.346 -2.442 3.881
Co B Mo
2 2 4
direct
0.825 0.175 0.000
0.175 0.825 0.000
0.217 0.217 0.435
0.783 0.783 0.565
0.312 0.312 0.000
0.250 0.750 0.500
0.750 0.250 0.500
0.688 0.688 0.000
```

=====

Record 4
A plane-wave DFT calculation with PBE-GGA was carried out for CoBMo3 after structural relaxation.

Output
ΔE_f (eV per atom): 1.874
Energy above the lowest structure with this stoichiometry (meV per atom): 1498
DOS at the Fermi energy (states/eV per cell): 6.94
Total DFT energy (no corrections) (eV for the cell shown): -36.904

Structure (POSCAR):
```
CoBMo3
1.0
4.384 0.000 0.000
0.000 4.384 0.000
0.000 0.000 4.384
Mo Co B
3 1 1
direct
0.500 0.000 0.000
0.000 0.500 0.000
0.000 0.000 0.500
0.000 0.000 0.000
0.500 0.500 0.500
```

=====

Record 5
A plane-wave DFT calculation with PBE-GGA was carried out for Co2B2Mo after structural relaxation.

Output
ΔE_f (eV per atom): -0.299
Energy above the lowest structure with this stoichiometry (meV per atom): 0
DOS at the Fermi energy (states/eV per cell): 6.00
Total DFT energy (no corrections) (eV for the cell shown): -79.783

Structure (POSCAR):
```
Co2B2Mo
1.0
3.223 0.000 0.000
0.000 3.633 0.022
0.000 -0.845 8.094
B Co Mo
4 4 2
direct
0.250 0.784 0.651
0.750 0.216 0.349
0.750 0.637 0.015
0.250 0.363 0.985
0.250 0.844 0.899
0.750 0.750 0.503
0.250 0.250 0.497
0.750 0.156 0.101
0.250 0.691 0.249
0.750 0.309 0.751
```

=====

Record 6
A plane-wave DFT calculation with PBE-GGA was carried out for CoB3Mo after structural relaxation.

Output
ΔE_f (eV per atom): 1.554
Energy above the lowest structure with this stoichiometry (meV per atom): 1915
DOS at the Fermi energy (states/eV per cell): 2.03
Total DFT energy (no corrections) (eV for the cell shown): -30.197

Structure (POSCAR):
```
CoB3Mo
1.0
4.076 0.000 0.000
0.000 4.076 0.000
0.000 0.000 4.076
B Mo Co
3 1 1
direct
0.000 0.500 0.000
0.000 0.000 0.500
0.500 0.000 0.000
0.000 0.000 0.000
0.500 0.500 0.500
```